(1)
A relaxed TlIn2Pb9 crystal, computed with PBE-GGA.

Values from the calculation:
V   30.8 Å³/atom
Formation energy   0.0083 eV per atom
Total energy   -3.427 eV per atom

Cell and atoms, written as CIF:
```
data_TlIn2Pb9
_chemical_formula_sum 'Tl1 In2 Pb9'
_symmetry_space_group_name_H-M 'P 4/m m m'
_symmetry_Int_Tables_number 123
_symmetry_space_group_name_Hall '-P 4 2'
_cell_length_a 4.9857
_cell_length_b 4.9857
_cell_length_c 14.8677
_cell_angle_alpha 90.00
_cell_angle_beta 90.00
_cell_angle_gamma 90.00
loop_
_atom_site_label
_atom_site_type_symbol
_atom_site_fract_x
_atom_site_fract_y
_atom_site_fract_z
Tl1 Tl 0.0000 0.0000 0.0000
In1 In 0.0000 0.0000 0.3343
Pb1 Pb 0.0000 0.5000 0.1689
Pb2 Pb 0.0000 0.5000 0.5000
Pb3 Pb 0.5000 0.5000 0.0000
Pb4 Pb 0.5000 0.5000 0.3341
```

---

(2)
A relaxed CaSm6Th crystal, computed with PBE-GGA.

Values from the calculation:
V   34.2 Å³/atom
Formation energy   0.0677 eV per atom
Total energy   -4.649 eV per atom

Cell and atoms, written as CIF:
```
data_CaSm6Th
_chemical_formula_sum 'Ca1 Sm6 Th1'
_symmetry_space_group_name_H-M 'P 4/m m m'
_symmetry_Int_Tables_number 123
_symmetry_space_group_name_Hall '-P 4 2'
_cell_length_a 5.1701
_cell_length_b 5.1701
_cell_length_c 10.2481
_cell_angle_alpha 90.00
_cell_angle_beta 90.00
_cell_angle_gamma 90.00
loop_
_atom_site_label
_atom_site_type_symbol
_atom_site_fract_x
_atom_site_fract_y
_atom_site_fract_z
Ca1 Ca 0.0000 0.0000 0.0000
Sm1 Sm 0.0000 0.5000 0.2612
Sm2 Sm 0.5000 0.5000 0.0000
Sm3 Sm 0.5000 0.5000 0.5000
Th1 Th 0.0000 0.0000 0.5000
```

---

(3)
A relaxed La3CN crystal, computed with PBE-GGA.

Values from the calculation:
V   25.9 Å³/atom
ΔE_f (raw)   -0.482 eV per atom
Total energy   -6.948 eV per atom
Distance to the lowest polymorph of the same formula   0.0000 eV per atom

Cell and atoms, written as CIF:
```
data_La3CN
_chemical_formula_sum 'La18 C6 N6'
_symmetry_space_group_name_H-M 'R -3'
_symmetry_Int_Tables_number 148
_symmetry_space_group_name_Hall '-R 3'
_cell_length_a 6.6486
_cell_length_b 6.6486
_cell_length_c 20.3140
_cell_angle_alpha 90.00
_cell_angle_beta 90.00
_cell_angle_gamma 120.00
loop_
_atom_site_label
_atom_site_type_symbol
_atom_site_fract_x
_atom_site_fract_y
_atom_site_fract_z
La1 La 0.0020 0.6478 0.0713
C1 C 0.0000 0.0000 0.0336
N1 N 0.0000 0.0000 0.3340
```

---

(4)
A relaxed CeTiBe2N4 crystal, computed with PBE-GGA.

Values from the calculation:
V   10.7 Å³/atom
ΔE_f (raw)   -1.035 eV per atom
Total energy   -7.858 eV per atom

Cell and atoms, written as CIF:
```
data_CeTiBe2N4
_chemical_formula_sum 'Ce2 Ti2 Be4 N8'
_symmetry_space_group_name_H-M 'I -4 2 m'
_symmetry_Int_Tables_number 121
_symmetry_space_group_name_Hall 'I -4 2'
_cell_length_a 4.9743
_cell_length_b 4.9743
_cell_length_c 6.9087
_cell_angle_alpha 90.00
_cell_angle_beta 90.00
_cell_angle_gamma 90.00
loop_
_atom_site_label
_atom_site_type_symbol
_atom_site_fract_x
_atom_site_fract_y
_atom_site_fract_z
Ce1 Ce 0.0000 0.0000 0.0000
Ti1 Ti 0.0000 0.0000 0.5000
Be1 Be 0.0000 0.5000 0.2500
N1 N 0.2175 0.2175 0.6680
```

---

(5)
A relaxed KTcCl crystal, computed with PBE-GGA.

Values from the calculation:
V   24.5 Å³/atom
ΔE_f (raw)   0.464 eV per atom
Total energy   -3.973 eV per atom
Distance to the lowest polymorph of the same formula   0.0000 eV per atom

Cell and atoms, written as CIF:
```
data_KTcCl
_chemical_formula_sum 'K1 Tc1 Cl1'
_symmetry_space_group_name_H-M 'P 3 m 1'
_symmetry_Int_Tables_number 156
_cell_length_a 3.7832
_cell_length_b 3.7832
_cell_length_c 5.9295
_cell_angle_alpha 90.00
_cell_angle_beta 90.00
_cell_angle_gamma 120.00
loop_
_symmetry_equiv_pos_as_xyz
'x,y,z'
'-y,x-y,z'
'-x+y,-x,z'
'-y,-x,z'
'-x+y,y,z'
'x,x-y,z'
loop_
_atom_site_label
_atom_site_type_symbol
_atom_site_fract_x
_atom_site_fract_y
_atom_site_fract_z
K1 K 0.0000 0.0000 0.0000
Tc1 Tc 0.6667 0.3333 0.4916
Cl1 Cl 0.3333 0.6667 0.6070
```

---

(6)
A relaxed Mg2CdHPd crystal, computed with PBE-GGA.

Values from the calculation:
V   15.3 Å³/atom
Total energy   -2.834 eV per atom
Distance to the lowest polymorph of the same formula   0.0000 eV per atom

Cell and atoms, written as CIF:
```
data_Mg2CdHPd
_chemical_formula_sum 'Mg2 Cd1 H1 Pd1'
_symmetry_space_group_name_H-M 'P 4/m m m'
_symmetry_Int_Tables_number 123
_symmetry_space_group_name_Hall '-P 4 2'
_cell_length_a 4.5755
_cell_length_b 4.5755
_cell_length_c 3.6534
_cell_angle_alpha 90.00
_cell_angle_beta 90.00
_cell_angle_gamma 90.00
loop_
_atom_site_label
_atom_site_type_symbol
_atom_site_fract_x
_atom_site_fract_y
_atom_site_fract_z
Mg1 Mg 0.0000 0.5000 0.0000
Cd1 Cd 0.0000 0.0000 0.5000
H1 H 0.5000 0.5000 0.0000
Pd1 Pd 0.5000 0.5000 0.5000
```

---

(7)
A relaxed NiOsRh crystal, computed with PBE-GGA.

Values from the calculation:
V   13.7 Å³/atom
Formation energy   0.3557 eV per atom
Total energy   -7.765 eV per atom
Distance to the lowest polymorph of the same formula   0.2985 eV per atom

Cell and atoms, written as CIF:
```
data_NiOsRh
_chemical_formula_sum 'Ni4 Os4 Rh4'
_symmetry_space_group_name_H-M 'F m m 2'
_symmetry_Int_Tables_number 42
_symmetry_space_group_name_Hall 'F 2 -2'
_cell_length_a 2.7040
_cell_length_b 4.5340
_cell_length_c 13.3817
_cell_angle_alpha 90.00
_cell_angle_beta 90.00
_cell_angle_gamma 90.00
loop_
_atom_site_label
_atom_site_type_symbol
_atom_site_fract_x
_atom_site_fract_y
_atom_site_fract_z
Ni1 Ni 0.0000 0.0000 0.0000
Os1 Os 0.0000 0.0000 0.3395
Rh1 Rh 0.0000 0.0000 0.6656
```

---

Question: Which value of total energy does entry 5 give?
Answer: -3.973 eV per atom